A plane-wave DFT calculation with GGA-PBE was carried out for a relaxed BaAsSe2 crystal.

Properties
DFT total energy: -16.03 eV per cell
Symmetry: Cmmm (65)

The structure in extended XYZ format:
```
4
Lattice="3.648 -3.669 0.000 3.648 3.669 0.000 0.000 0.000 3.936" Properties=species:S:1:pos:R:3 pbc="T T T"
Ba 0.000 0.000 0.000
As 3.648 0.000 0.000
Se 1.824 1.834 1.968
Se 1.824 -1.834 1.968
```

---

A plane-wave DFT calculation with GGA-PBE was carried out for a relaxed Ba2CeNiS5 crystal.

Properties
DFT total energy: -100.73 eV per cell
Symmetry: Cmc2_1 (36)

The structure in extended XYZ format:
```
18
Lattice="2.072 -8.968 0.000 2.072 8.968 0.000 0.000 0.000 12.990" Properties=species:S:1:pos:R:3 pbc="T T T"
Ba 2.072 6.848 6.495
Ba 2.072 6.758 11.146
Ba 2.072 -6.758 4.652
Ba 2.072 -6.848 0.000
Ce 2.072 5.474 2.382
Ce 2.072 -5.474 8.877
Ni 2.072 1.222 7.434
Ni 2.072 -1.222 0.939
S 2.072 8.149 1.710
S 2.072 3.474 7.024
S 2.072 3.459 10.705
S 2.072 2.809 2.320
S 2.072 0.027 5.552
S 2.072 -0.027 12.047
S 2.072 -2.809 8.814
S 2.072 -3.459 4.210
S 2.072 -3.474 0.529
S 2.072 -8.149 8.204
```

---

A plane-wave DFT calculation with GGA-PBE was carried out for a relaxed ZrSi2Rh crystal.

Properties
DFT total energy: -29.59 eV per cell
Symmetry: Pmmm (47)

The structure in extended XYZ format:
```
4
Lattice="2.983 0.000 0.000 0.000 4.028 0.000 0.000 0.000 5.333" Properties=species:S:1:pos:R:3 pbc="T T T"
Zr 0.000 0.000 0.000
Si 1.492 2.014 1.349
Si 1.492 2.014 3.984
Rh 1.492 0.000 2.666
```

---

A plane-wave DFT calculation with GGA-PBE was carried out for a relaxed RbPmCoBr6 crystal.

Properties
DFT total energy: -68.97 eV per cell
Symmetry: P-31c (163)

The structure in extended XYZ format:
```
18
Lattice="7.168 0.000 0.000 -3.584 6.207 0.000 0.000 0.000 15.377" Properties=species:S:1:pos:R:3 pbc="T T T"
Rb 0.000 0.000 0.000
Rb 0.000 0.000 7.689
Pm 0.000 4.138 3.844
Pm 3.584 2.069 11.533
Co 0.000 4.138 11.533
Co 3.584 2.069 3.844
Br -1.182 2.397 9.967
Br -2.099 3.985 13.099
Br 1.182 2.397 13.099
Br -0.916 6.032 9.967
Br 2.667 0.175 2.278
Br 1.485 2.223 5.410
Br 2.099 3.985 9.967
Br 0.916 6.032 13.099
Br 4.500 0.175 5.410
Br 2.402 3.810 2.278
Br 5.682 2.223 2.278
Br 4.766 3.810 5.410
```

---

A plane-wave DFT calculation with GGA-PBE was carried out for a relaxed PrErMgAg crystal.

Properties
Distance to the lowest polymorph of the same formula: 0.0485 eV/atom
ΔH_f (0 K): -0.132 eV/atom
Symmetry: F-43m (216)

The structure in extended XYZ format:
```
4
Lattice="0.000 3.767 3.767 3.767 0.000 3.767 3.767 3.767 0.000" Properties=species:S:1:pos:R:3 pbc="T T T"
Pr 0.000 0.000 0.000
Er 3.767 3.767 3.767
Mg 1.884 1.884 1.884
Ag 5.651 5.651 5.651
```

---

A plane-wave DFT calculation with GGA-PBE was carried out for a relaxed Ba2Hg2Sb3 crystal.

Properties
DFT total energy: -42.29 eV per cell
Symmetry: C2/m (12)

The structure in extended XYZ format:
```
14
Lattice="9.167 -2.480 0.000 9.167 2.480 0.000 -8.310 0.000 10.790" Properties=species:S:1:pos:R:3 pbc="T T T"
Ba -1.866 0.000 4.681
Ba -2.626 0.000 9.089
Ba 12.650 0.000 1.701
Ba 11.890 0.000 6.108
Hg 0.579 0.000 1.784
Hg 6.739 0.000 2.069
Hg 3.285 0.000 8.721
Hg 9.445 0.000 9.006
Sb -5.920 0.000 10.290
Sb 0.518 0.000 7.462
Sb 4.485 0.000 4.065
Sb 5.539 0.000 6.725
Sb 9.506 0.000 3.328
Sb 15.944 0.000 0.500
```

---

Number 1: total moment 0.0 μB/f.u.. Number 2: total moment 1.0 μB/f.u.. Number 3: total moment 0.0 μB/f.u.. Number 4: total moment 3.0 μB/f.u.. Number 5: total moment 0.0 μB/f.u.. Number 6: total moment 0.0 μB/f.u..